[1]
12
Lattice="5.2373 0.0000 0.0000 0.0000 5.4666 0.0000 -0.4252 0.0000 5.4173" Properties=species:S:1:pos:R:3 comment="HoBiO4, relaxed, DFT GGA-PBE" dft_energy_ev_per_fu=-40.58 density_g_cm3=9.38 m_tot_mub_per_atom=0.00 spacegroup=P2/c pbc="T T T"
Ho -0.1063 1.2860 1.3543
Ho -0.3189 4.1805 4.0630
Bi 2.2998 1.5487 4.0630
Bi 2.5124 3.9179 1.3543
O 1.0353 0.2859 3.0641
O 1.2479 5.1807 0.3555
O 0.8930 2.4758 5.3186
O 1.1056 2.9908 2.6099
O 3.7065 2.4758 2.8074
O 3.9191 2.9908 0.0987
O 3.5643 0.2859 5.0618
O 3.7769 5.1807 2.3532

---

[2]
9
Lattice="3.9514 0.0000 0.0000 0.0000 3.9514 0.0000 0.0000 0.0000 9.3297" Properties=species:S:1:pos:R:3 comment="Ho2Bi2O5, relaxed, DFT GGA-PBE" dft_energy_ev_per_fu=-61.13 density_g_cm3=9.44 m_tot_mub_per_atom=0.00 spacegroup=P4/mmm pbc="T T T"
Ho 0.0000 0.0000 2.3050
Ho 0.0000 0.0000 7.0246
Bi 1.9757 1.9757 0.0000
Bi 1.9757 1.9757 4.6648
O 0.0000 0.0000 0.0000
O 0.0000 1.9757 3.2322
O 0.0000 1.9757 6.0974
O 1.9757 0.0000 3.2322
O 1.9757 0.0000 6.0974

---

[3]
8
Lattice="3.8906 0.0000 0.0000 0.0000 8.2235 0.0000 0.0000 0.0000 5.9224" Properties=species:S:1:pos:R:3 comment="HoBiPO, relaxed, DFT GGA-PBE" dft_energy_ev_per_fu=-24.13 relative_energy_ev_per_fu=0.00 density_g_cm3=7.38 m_tot_mub_per_atom=0.00 spacegroup=Pmc2_1 pbc="T T T"
Ho 0.0000 1.2947 0.0000
Ho 0.0000 6.9288 2.9612
Bi 1.9453 3.3595 2.9932
Bi 1.9453 4.8640 0.0320
P 0.0000 1.4913 2.9585
P 0.0000 6.7322 5.9197
O 1.9453 2.0845 5.9084
O 1.9453 6.1390 2.9471

---

[4]
8
Lattice="4.1985 0.0000 0.0000 0.0000 4.1985 0.0000 0.0000 0.0000 9.6425" Properties=species:S:1:pos:R:3 comment="HoBiPO, relaxed, DFT GGA-PBE" dft_energy_ev_per_fu=-24.02 relative_energy_ev_per_fu=0.11 density_g_cm3=8.22 m_tot_mub_per_atom=0.00 spacegroup=P4/nmm pbc="T T T"
Ho 1.0496 1.0496 0.8995
Ho 3.1488 3.1488 8.7430
Bi 1.0496 3.1488 4.8213
Bi 3.1488 1.0496 4.8213
P 1.0496 1.0496 7.0968
P 3.1488 3.1488 2.5457
O 1.0496 3.1488 0.0000
O 3.1488 1.0496 0.0000

---

[5]
8
Lattice="5.4300 0.0000 0.0000 0.0000 5.4300 0.0000 0.0000 0.0000 5.4298" Properties=species:S:1:pos:R:3 comment="HoBiPO, relaxed, DFT GGA-PBE" dft_energy_ev_per_fu=-23.05 relative_energy_ev_per_fu=1.07 density_g_cm3=8.73 m_tot_mub_per_atom=0.00 spacegroup=P4/nmm pbc="T T T"
Ho 1.3575 4.0725 0.0000
Ho 4.0725 1.3575 0.0000
Bi 1.3575 1.3575 2.6879
Bi 4.0725 4.0725 2.7419
P 1.3575 1.3575 5.4076
P 4.0725 4.0725 0.0222
O 1.3575 4.0725 2.7149
O 4.0725 1.3575 2.7149

---

[6]
8
Lattice="4.9267 0.0000 0.0000 0.0000 6.3703 0.0000 0.0000 0.0000 6.1366" Properties=species:S:1:pos:R:3 comment="HoBiPO, relaxed, DFT GGA-PBE" dft_energy_ev_per_fu=-23.75 relative_energy_ev_per_fu=0.38 density_g_cm3=7.26 m_tot_mub_per_atom=0.00 spacegroup=Pmc2_1 pbc="T T T"
Ho 0.0000 1.1194 0.0000
Ho 0.0000 5.2509 3.0683
Bi 2.4634 1.5766 2.4981
Bi 2.4634 4.7937 5.5664
P 2.4634 2.0564 5.3024
P 2.4634 4.3139 2.2342
O 0.0000 0.7741 2.1088
O 0.0000 5.5962 5.1771

---

[7]
10
Lattice="5.3459 0.0000 0.0000 -1.2295 5.2574 0.0000 -1.1311 -1.2086 5.6687" Properties=species:S:1:pos:R:3 comment="HoBiPb2O6, relaxed, DFT GGA-PBE" dft_energy_ev_per_fu=-60.93 density_g_cm3=9.22 m_tot_mub_per_atom=0.00 spacegroup=P-1 pbc="T T T"
Ho 0.0000 0.0000 0.0000
Bi 2.0582 2.6287 0.0000
Pb -0.0337 3.2484 2.5369
Pb 3.0190 0.8003 3.1317
O -0.2180 0.3711 4.2145
O 0.5527 4.0379 0.4082
O 0.9649 1.4480 1.4755
O 2.0204 2.6007 4.1931
O 2.4325 0.0108 5.2605
O 3.2033 3.6777 1.4541

---

[8]
5
Lattice="-1.9677 1.9677 6.8486 1.9677 -1.9677 6.8486 1.9677 1.9677 -6.8486" Properties=species:S:1:pos:R:3 comment="PrHoBiO2, relaxed, DFT GGA-PBE" dft_energy_ev_per_fu=-36.41 density_g_cm3=8.56 m_tot_mub_per_atom=0.00 spacegroup=I4mm pbc="T T T"
Pr 0.0000 0.0000 0.0000
Ho 0.0000 0.0000 9.1557
Bi 0.0000 0.0000 4.5526
O 1.9677 0.0000 1.2729
O 0.0000 1.9677 1.2729

---

[9]
5
Lattice="3.8544 0.0000 0.0000 -1.9272 3.3380 0.0000 0.0000 0.0000 6.7199" Properties=species:S:1:pos:R:3 comment="HoBiSO2, relaxed, DFT GGA-PBE" dft_energy_ev_per_fu=-32.99 density_g_cm3=8.41 m_tot_mub_per_atom=0.00 spacegroup=P3m1 pbc="T T T"
Ho 0.0000 0.0000 0.0000
Bi 1.9272 1.1127 2.9672
S 0.0000 2.2254 4.9059
O 0.0000 0.0000 2.2492
O 1.9272 1.1127 0.5540

---

[10]
5
Lattice="-1.9014 1.9014 6.8868 1.9014 -1.9014 6.8868 1.9014 1.9014 -6.8868" Properties=species:S:1:pos:R:3 comment="HoBiSO2, relaxed, DFT GGA-PBE" dft_energy_ev_per_fu=-27.67 density_g_cm3=7.30 m_tot_mub_per_atom=0.00 spacegroup=I4mm pbc="T T T"
Ho 0.0000 0.0000 0.0000
Bi 0.0000 0.0000 4.5371
S 0.0000 0.0000 8.5473
O 1.9014 0.0000 1.1949
O 0.0000 1.9014 1.1949

---

[11]
5
Lattice="-1.9185 1.9185 6.3124 1.9185 -1.9185 6.3124 1.9185 1.9185 -6.3124" Properties=species:S:1:pos:R:3 comment="HoBiSeO2, relaxed, DFT GGA-PBE" dft_energy_ev_per_fu=-27.76 density_g_cm3=8.66 m_tot_mub_per_atom=0.00 spacegroup=I4mm pbc="T T T"
Ho 0.0000 0.0000 0.0000
Bi 0.0000 0.0000 8.7571
Se 0.0000 0.0000 3.9072
O 1.9185 0.0000 5.3336
O 0.0000 1.9185 5.3336

---

[12]
5
Lattice="-1.9715 1.9715 6.2676 1.9715 -1.9715 6.2676 1.9715 1.9715 -6.2676" Properties=species:S:1:pos:R:3 comment="HoBiTeO2, relaxed, DFT GGA-PBE" dft_energy_ev_per_fu=-31.30 density_g_cm3=9.09 m_tot_mub_per_atom=0.00 spacegroup=I4mm pbc="T T T"
Ho 0.0000 0.0000 0.0000
Bi 0.0000 0.0000 8.5925
Te 0.0000 0.0000 4.3342
O 1.9715 0.0000 1.0778
O 0.0000 1.9715 1.0778

---

[13]
9
Lattice="8.1246 0.0000 0.0000 -4.0623 7.0362 0.0000 0.0000 0.0000 4.0632" Properties=species:S:1:pos:R:3 comment="Ho3Sc3Bi2Os, relaxed, DFT GGA-PBE" dft_energy_ev_per_fu=-56.14 relative_energy_ev_per_fu=1.40 density_g_cm3=8.85 m_tot_mub_per_atom=0.01 spacegroup=P-62m pbc="T T T"
Ho -3.0867 5.3464 0.0000
Ho 0.9756 1.6898 0.0000
Ho 6.1735 0.0000 0.0000
Sc -1.5583 2.6990 2.0316
Sc 3.1165 0.0000 2.0316
Sc 2.5041 4.3372 2.0316
Bi 0.0000 4.6908 0.0000
Bi 4.0623 2.3454 0.0000
Os 0.0000 0.0000 2.0316

---

[14]
9
Lattice="7.9366 0.0000 0.0000 -3.9683 6.8733 0.0000 0.0000 0.0000 4.2147" Properties=species:S:1:pos:R:3 comment="Ho3Sc3Bi2Os, relaxed, DFT GGA-PBE" dft_energy_ev_per_fu=-57.53 relative_energy_ev_per_fu=0.00 density_g_cm3=8.94 m_tot_mub_per_atom=0.00 spacegroup=P-62m pbc="T T T"
Ho -1.5271 2.6449 0.0000
Ho 3.0541 0.0000 0.0000
Ho 2.4413 4.2284 0.0000
Sc -3.0820 5.3381 2.1073
Sc 0.8863 1.5352 2.1073
Sc 6.1640 0.0000 2.1073
Bi 0.0000 4.5822 2.1073
Bi 3.9683 2.2911 2.1073
Os 0.0000 0.0000 0.0000

---

[15]
9
Lattice="4.2117 0.0000 0.0000 0.0000 6.9638 4.0217 0.0000 -6.9638 4.0217" Properties=species:S:1:pos:R:3 comment="Ho4Sc2Bi2Os, relaxed, DFT GGA-PBE" dft_energy_ev_per_fu=-55.54 density_g_cm3=9.56 m_tot_mub_per_atom=0.00 spacegroup=Amm2 pbc="T T T"
Ho 0.0000 0.0000 0.0000
Ho 0.0000 -2.7165 3.4193
Ho 0.0000 2.7165 3.4193
Ho 2.1058 0.0000 3.1430
Sc 2.1058 -1.5794 5.8884
Sc 2.1058 1.5794 5.8884
Bi 2.1058 -4.6077 4.9439
Bi 2.1058 4.6077 4.9439
Os 0.0000 0.0000 5.0834

---

[16]
9
Lattice="7.9381 0.0000 0.0000 -3.9690 6.8746 0.0000 0.0000 0.0000 4.0982" Properties=species:S:1:pos:R:3 comment="Ho3Sc3BiTeOs, relaxed, DFT GGA-PBE" dft_energy_ev_per_fu=-57.31 density_g_cm3=8.59 m_tot_mub_per_atom=0.00 spacegroup=P-6 pbc="T T T"
Ho -2.4243 4.9344 0.0000
Ho 0.9078 2.3078 0.0000
Ho 1.5165 6.5069 0.0000
Sc 3.0691 0.7211 2.0491
Sc 3.0589 3.8561 2.0491
Sc 5.7791 2.2974 2.0491
Bi 0.0000 0.0000 2.0491
Te 0.0000 4.5830 2.0491
Os 3.9690 2.2915 0.0000

---

[17]
9
Lattice="4.2212 0.0000 0.0000 0.0000 7.0372 4.0622 0.0000 -7.0372 4.0622" Properties=species:S:1:pos:R:3 comment="Ho3Tm2ScBi2Os, relaxed, DFT GGA-PBE" dft_energy_ev_per_fu=-53.55 density_g_cm3=10.22 m_tot_mub_per_atom=0.00 spacegroup=Amm2 pbc="T T T"
Ho 0.0000 0.0000 0.0000
Ho 0.0000 -2.6870 4.7360
Ho 0.0000 2.6870 4.7360
Tm 2.1106 -1.6243 2.2319
Tm 2.1106 1.6243 2.2319
Sc 2.1106 0.0000 5.0050
Bi 2.1106 -4.7176 3.1402
Bi 2.1106 4.7176 3.1402
Os 0.0000 0.0000 3.2446

---

[18]
9
Lattice="4.2034 0.0000 0.0000 0.0000 7.0812 4.1223 0.0000 -7.0812 4.1223" Properties=species:S:1:pos:R:3 comment="Y2Ho3ScBi2Os, relaxed, DFT GGA-PBE" dft_energy_ev_per_fu=-57.34 density_g_cm3=8.97 m_tot_mub_per_atom=0.00 spacegroup=Amm2 pbc="T T T"
Y 0.0000 -5.4587 4.1223
Y 0.0000 5.4587 4.1223
Ho 2.1017 0.0000 2.3791
Ho 2.1017 -2.6969 5.6845
Ho 2.1017 2.6969 5.6845
Sc 0.0000 0.0000 5.3403
Bi 0.0000 -2.3400 3.1830
Bi 0.0000 2.3400 3.1830
Os 2.1017 0.0000 7.0004

---

[19]
9
Lattice="4.2122 0.0000 0.0000 0.0000 6.9739 4.0415 0.0000 -6.9739 4.0415" Properties=species:S:1:pos:R:3 comment="YHo3Sc2Bi2Os, relaxed, DFT GGA-PBE" dft_energy_ev_per_fu=-57.37 density_g_cm3=8.96 m_tot_mub_per_atom=0.00 spacegroup=Amm2 pbc="T T T"
Y 0.0000 0.0000 0.0000
Ho 2.1061 -4.2497 3.7383
Ho 2.1061 0.0000 3.1398
Ho 2.1061 4.2497 3.7383
Sc 0.0000 -1.5785 5.3009
Sc 0.0000 1.5785 5.3009
Bi 0.0000 -2.3625 2.2084
Bi 0.0000 2.3625 2.2084
Os 2.1061 0.0000 6.0947

---

[20]
9
Lattice="4.2344 0.0000 0.0000 0.0000 7.1426 4.1246 0.0000 -7.1426 4.1246" Properties=species:S:1:pos:R:3 comment="Ho5TmBi2Os, relaxed, DFT GGA-PBE" dft_energy_ev_per_fu=-51.67 density_g_cm3=10.66 m_tot_mub_per_atom=0.00 spacegroup=Amm2 pbc="T T T"
Ho 0.0000 0.0000 0.0000
Ho 0.0000 -2.7524 3.4729
Ho 0.0000 2.7524 3.4729
Ho 2.1172 -1.6646 6.0257
Ho 2.1172 1.6646 6.0257
Tm 2.1172 0.0000 3.1460
Bi 2.1172 -4.7660 5.0676
Bi 2.1172 4.7660 5.0676
Os 0.0000 0.0000 5.0524